This record from the Alexandria database describes crystalline MnZnBr2 at its relaxed geometry. The functional is GGA-PBE.

Summary:
Calculated total energy, eV/atom: -3.346
DOS at the Fermi energy, states/eV per cell: 2.85
Energy above the most stable polymorph in this dataset, kJ/mol of formula units: 174
Raw formation energy, meV per atom: 101.5
Space-group type: No. 119

abc: 7.092 7.092 7.092
angles: 147.93 147.93 45.99
Site moments in Bohr magnetons follow the coordinates.
Fractional positions:
Zn  0.750  0.250  0.500  -0.01
Br  0.000  0.000  0.000  0.05
Br  0.250  0.750  0.500  -0.01
Mn  0.500  0.500  0.000  4.19